Pu5Rh3 | PBE | optimized geometry

Cell: 3.5797 3.5797 13.0946 Å, 90.00 90.00 90.00°
Last column: nearest neighbours and their distance in Å.
Positions (direct):
Pu 0.0000 0.0000 0.2361  4 Rh 2.94, 5 Pu 3.09-3.18
Pu 0.5000 0.5000 0.6168  4 Rh 2.96, 5 Pu 3.06-3.18
Pu 0.5000 0.5000 0.3832  4 Rh 2.96, 5 Pu 3.06-3.18
Pu 0.0000 0.0000 0.7639  4 Rh 2.94, 5 Pu 3.09-3.18
Pu 0.0000 0.0000 0.0000  8 Rh 2.99, 2 Pu 3.09
Rh 0.5000 0.5000 0.1214  8 Pu 2.94-2.99, 1 Rh 3.18
Rh 0.5000 0.5000 0.8786  8 Pu 2.94-2.99, 1 Rh 3.18
Rh 0.0000 0.0000 0.5000  8 Pu 2.96

Summary:
DOS(E_F): 31.12 states/eV/cell
excess energy over the best structure of this formula in the dataset: 0 meV/atom